Record 1
Compound: TeAuSe2
Source: Alexandria
Functional: SCAN
Structure: single point on PBEsol structure

Properties
Formation energy from raw total energies in eV per atom: 0.17
SG: No. 65
Excess energy over the best structure of this formula in the dataset in eV per atom: 0.169

abc: 3.792 4.113 7.468
angles: 90.00 90.00 117.45
Atoms (fractional coordinates):
1 Au 0.500 0.000 0.000
2 Se 0.000 0.000 0.770
3 Se 0.000 0.000 0.230
4 Te 0.500 0.000 0.500



Record 2
Compound: LiHg2Au
Source: Alexandria
Functional: SCAN
Structure: single point on PBEsol structure

Properties
Raw total energy in eV per atom: -52.224
SG: No. 8

abc: 4.147 4.144 5.201
angles: 113.82 113.49 90.00
Atoms (fractional coordinates):
1 Au 0.250 0.750 0.500
2 Hg 0.000 0.001 0.000
3 Hg 0.750 0.250 0.500
4 Li 0.500 0.500 0.000



Number 1 is which compound?
TeAuSe2